(1)
Below is a relaxed structure of TaTcHg, with properties calculated at the PBE level.

The value obtained for the total DFT energy (no corrections) is -0.4988 Ry/atom. The value obtained for the polymorph energy (0 for the lowest one) is 597.7 meV/atom. The symmetry is No. 216. The value obtained for the total magnetization is 0.000 μB per formula unit.

abc: 4.453 4.453 4.453
angles: 60.00 60.00 60.00
Element x y z (fractional)
Ta 0.500 0.500 0.500
Tc 0.250 0.250 0.250
Hg 0.000 0.000 0.000

---

(2)
Below is a relaxed structure of Cu3PSe4, with properties calculated at the PBE level.

The value obtained for the total DFT energy (no corrections) is -0.2885 Ry/atom. The symmetry is No. 215. The value obtained for the total magnetization is 0.000 μB per formula unit. The value obtained for the energy relative to the elements, uncorrected is 22 kJ/mol of formula units.

abc: 5.396 5.396 5.396
angles: 90.00 90.00 90.00
Element x y z (fractional)
Cu 0.000 0.000 0.500
Cu 0.000 0.500 0.000
P 0.000 0.000 0.000
Se 0.281 0.719 0.719
Se 0.719 0.719 0.281
Se 0.719 0.281 0.719
Se 0.281 0.281 0.281
Cu 0.500 0.000 0.000

---

(3)
Below is a relaxed structure of Pu3Ga9Fe2, with properties calculated at the PBE level.

The value obtained for the total DFT energy (no corrections) is -0.4809 Ry/atom. The symmetry is No. 71. The value obtained for the total magnetization is 12.458 μB per formula unit.

abc: 4.360 7.971 7.971
angles: 72.79 74.13 74.13
Element x y z (fractional)
Pu 0.000 0.000 0.000
Ga 0.649 0.711 0.992
Ga 0.866 0.416 0.852
Fe 0.500 0.338 0.662
Ga 0.000 0.500 0.500
Ga 0.351 0.008 0.289
Fe 0.500 0.662 0.338
Pu 0.301 0.699 0.699
Ga 0.134 0.584 0.148
Ga 0.351 0.289 0.008
Ga 0.866 0.852 0.416
Ga 0.649 0.992 0.711
Pu 0.699 0.301 0.301
Ga 0.134 0.148 0.584

---

(4)
Below is a relaxed structure of ScH3Au, with properties calculated at the PBE level.

The value obtained for the total DFT energy (no corrections) is -0.2890 Ry/atom. The symmetry is No. 221. The value obtained for the total magnetization is 0.000 μB per formula unit.

abc: 3.761 3.761 3.761
angles: 90.00 90.00 90.00
Element x y z (fractional)
H 0.000 0.000 0.500
Sc 0.000 0.000 0.000
Au 0.500 0.500 0.500
H 0.500 0.000 0.000
H 0.000 0.500 0.000

---

(5)
Below is a relaxed structure of Dy2ErAs, with properties calculated at the PBE level.

The value obtained for the total DFT energy (no corrections) is -0.3807 Ry/atom. The symmetry is No. 166. The value obtained for the total magnetization is 0.861 μB per formula unit.

abc: 3.841 3.841 9.655
angles: 78.53 78.53 60.00
Element x y z (fractional)
Dy 0.728 0.728 0.815
Er 0.500 0.500 0.500
As 0.000 0.000 0.000
Dy 0.272 0.272 0.185

---

(6)
Below is a relaxed structure of LaTh2S4, with properties calculated at the PBE level.

The value obtained for the total DFT energy (no corrections) is -0.5221 Ry/atom. The value obtained for the polymorph energy (0 for the lowest one) is 13.8 meV/atom. The symmetry is No. 63. The value obtained for the total magnetization is 0.000 μB per formula unit. The value obtained for the energy relative to the elements, uncorrected is -1297 kJ/mol of formula units.

abc: 3.971 7.002 13.453
angles: 90.00 90.00 106.47
Element x y z (fractional)
S 0.038 0.076 0.250
Th 0.862 0.725 0.935
Th 0.862 0.725 0.565
La 0.380 0.759 0.250
S 0.962 0.924 0.750
S 0.774 0.548 0.370
La 0.620 0.241 0.750
S 0.500 0.000 0.000
S 0.500 0.000 0.500
S 0.226 0.452 0.630
Th 0.138 0.275 0.435
S 0.774 0.548 0.130
Th 0.138 0.275 0.065
S 0.226 0.452 0.870

---

(7)
Below is a relaxed structure of NiSI2N, with properties calculated at the PBE level.

The value obtained for the total DFT energy (no corrections) is -0.2494 Ry/atom. The value obtained for the polymorph energy (0 for the lowest one) is 0.0 meV/atom. The symmetry is No. 123. The value obtained for the total magnetization is 0.000 μB per formula unit. The value obtained for the energy relative to the elements, uncorrected is 422 kJ/mol of formula units.

abc: 5.567 5.567 3.424
angles: 90.00 90.00 90.00
Element x y z (fractional)
S 0.500 0.500 0.500
I 0.000 0.500 0.000
N 0.000 0.000 0.500
I 0.500 0.000 0.000
Ni 0.000 0.000 0.000

---

(8)
Below is a relaxed structure of Nd2YHg, with properties calculated at the PBE level.

The value obtained for the total DFT energy (no corrections) is -0.3038 Ry/atom. The value obtained for the polymorph energy (0 for the lowest one) is 179.3 meV/atom. The symmetry is No. 225. The value obtained for the total magnetization is 0.003 μB per formula unit.

abc: 5.543 5.543 5.543
angles: 60.00 60.00 60.00
Element x y z (fractional)
Y 0.500 0.500 0.500
Hg 0.000 0.000 0.000
Nd 0.750 0.750 0.750
Nd 0.250 0.250 0.250

---

(9)
Below is a relaxed structure of HfMn2Os, with properties calculated at the PBE level.

The value obtained for the total DFT energy (no corrections) is -0.6963 Ry/atom. The value obtained for the polymorph energy (0 for the lowest one) is 376.3 meV/atom. The symmetry is No. 122. The value obtained for the total magnetization is 4.861 μB per formula unit.

abc: 7.010 7.010 5.628
angles: 51.48 51.48 90.00
Element x y z (fractional)
Hf 0.500 0.500 0.000
Os 0.000 0.000 0.000
Mn 0.875 0.910 0.750
Mn 0.090 0.625 0.250
Mn 0.660 0.125 0.250
Mn 0.375 0.340 0.750
Hf 0.250 0.750 0.500
Os 0.750 0.250 0.500

---

(10)
Below is a relaxed structure of SmPuPt10, with properties calculated at the PBE level.

The value obtained for the total DFT energy (no corrections) is -0.5322 Ry/atom. The symmetry is No. 47. The value obtained for the total magnetization is 4.877 μB per formula unit.

abc: 4.442 5.394 9.318
angles: 90.00 90.00 90.00
Element x y z (fractional)
Sm 0.000 0.000 0.000
Pu 0.000 0.500 0.500
Pt 0.000 0.500 0.168
Pt 0.500 0.000 0.500
Pt 0.000 0.000 0.666
Pt 0.000 0.000 0.334
Pt 0.000 0.500 0.832
Pt 0.500 0.250 0.750
Pt 0.500 0.750 0.750
Pt 0.500 0.250 0.250
Pt 0.500 0.500 0.000
Pt 0.500 0.750 0.250

---

(11)
Below is a relaxed structure of HgSbF2, with properties calculated at the PBE level.

The value obtained for the total DFT energy (no corrections) is -0.2131 Ry/atom. The value obtained for the polymorph energy (0 for the lowest one) is 395.4 meV/atom. The symmetry is No. 225. The value obtained for the total magnetization is 0.000 μB per formula unit. The value obtained for the energy relative to the elements, uncorrected is -331 kJ/mol of formula units.

abc: 4.585 4.585 4.585
angles: 60.00 60.00 60.00
Element x y z (fractional)
Sb 0.000 0.000 0.000
F 0.250 0.250 0.250
F 0.750 0.750 0.750
Hg 0.500 0.500 0.500

---

(12)
Below is a relaxed structure of DyMgAlPd, with properties calculated at the PBE level.

The value obtained for the total DFT energy (no corrections) is -0.3171 Ry/atom. The symmetry is No. 216. The value obtained for the total magnetization is 0.000 μB per formula unit.

abc: 4.834 4.834 4.834
angles: 60.00 60.00 60.00
Element x y z (fractional)
Dy 0.250 0.250 0.250
Pd 0.000 0.000 0.000
Al 0.500 0.500 0.500
Mg 0.750 0.750 0.750

---

Q: Which of these has the highest total magnetization?
A: Pu3Ga9Fe2

---

What did the eighth record say?
Below is a relaxed structure of Nd2YHg, with properties calculated at the PBE level.

The value obtained for the total DFT energy (no corrections) is -0.3038 Ry/atom. The value obtained for the polymorph energy (0 for the lowest one) is 179.3 meV/atom. The symmetry is No. 225. The value obtained for the total magnetization is 0.003 μB per formula unit.

abc: 5.543 5.543 5.543
angles: 60.00 60.00 60.00
Element x y z (fractional)
Y 0.500 0.500 0.500
Hg 0.000 0.000 0.000
Nd 0.750 0.750 0.750
Nd 0.250 0.250 0.250